! CoSi2SnMo, optimized geometry, DFT PBE; values from VASP
! energy	-6.06	eV/atom
! V	88.8	Å³ per cell
! uncorrected formation energy	0.50	eV per atom
&SYSTEM
  ibrav = 0, nat = 5, ntyp = 4
/
ATOMIC_SPECIES
Co 58.93 Co.upf
Si 28.09 Si.upf
Sn 118.71 Sn.upf
Mo 95.94 Mo.upf
CELL_PARAMETERS angstrom
4.256 0.000 0.000
0.000 4.256 0.000
0.000 0.000 4.901
ATOMIC_POSITIONS crystal
Co 0.000 0.000 0.000
Si 0.000 0.500 0.000
Si 0.500 0.000 0.000
Sn 0.500 0.500 0.500
Mo 0.000 0.000 0.500

---

! CoSi2Rh, optimized geometry, DFT PBE; values from VASP
! energy	-6.79	eV/atom
! V	99.2	Å³ per cell
! energy relative to the lowest polymorph listed for this composition	0.122	eV per atom
! uncorrected formation energy	-0.46	eV per atom
&SYSTEM
  ibrav = 0, nat = 8, ntyp = 3
/
ATOMIC_SPECIES
Co 58.93 Co.upf
Si 28.09 Si.upf
Rh 102.91 Rh.upf
CELL_PARAMETERS angstrom
7.499 0.000 0.000
0.000 2.805 0.000
-0.995 0.000 4.717
ATOMIC_POSITIONS crystal
Co 0.000 0.000 0.000
Co 0.500 0.500 0.000
Si 0.245 0.500 0.226
Si 0.255 0.000 0.774
Si 0.745 0.000 0.226
Si 0.755 0.500 0.774
Rh 0.000 0.500 0.500
Rh 0.500 0.000 0.500

---

! K3Bi2Au2, optimized geometry, DFT PBE; values from VASP
! energy	-2.80	eV/atom
! V	510.4	Å³ per cell
! energy of formation from the pure elements	-0.2827	eV per atom
&SYSTEM
  ibrav = 0, nat = 14, ntyp = 3
/
ATOMIC_SPECIES
K 39.10 K.upf
Bi 208.98 Bi.upf
Au 196.97 Au.upf
CELL_PARAMETERS angstrom
12.806 0.000 0.000
0.000 4.805 0.000
-3.367 0.000 8.294
ATOMIC_POSITIONS crystal
K 0.000 0.000 0.000
K 0.198 0.000 0.659
K 0.302 0.500 0.341
K 0.500 0.500 0.000
K 0.698 0.500 0.659
K 0.802 0.000 0.341
Bi 0.017 0.500 0.345
Bi 0.483 0.000 0.655
Bi 0.517 0.000 0.345
Bi 0.983 0.500 0.655
Au 0.193 0.500 0.930
Au 0.307 0.000 0.070
Au 0.693 0.000 0.930
Au 0.807 0.500 0.070

---

! MnAu2, optimized geometry, DFT PBE; values from VASP
! energy	-5.18	eV/atom
! V	207.8	Å³ per cell
! energy of formation from the pure elements	0.0577	eV per atom
! energy relative to the lowest polymorph listed for this composition	0.159	eV per atom
&SYSTEM
  ibrav = 0, nat = 12, ntyp = 2
/
ATOMIC_SPECIES
Mn 54.94 Mn.upf
Au 196.97 Au.upf
CELL_PARAMETERS angstrom
10.501 0.000 0.000
0.000 3.070 0.000
-1.655 0.000 6.447
ATOMIC_POSITIONS crystal
Mn 0.000 0.000 0.000
Mn 0.182 0.500 0.352
Mn 0.500 0.500 0.000
Mn 0.682 0.000 0.352
Au 0.124 0.500 0.758
Au 0.287 0.000 0.089
Au 0.342 0.000 0.670
Au 0.476 0.500 0.398
Au 0.624 0.000 0.758
Au 0.787 0.500 0.089
Au 0.842 0.500 0.670
Au 0.976 0.000 0.398

---

! Sr2CoGeI, optimized geometry, DFT PBE; values from VASP
! energy	-2.92	eV/atom
! V	211.1	Å³ per cell
! uncorrected formation energy	0.41	eV per atom
&SYSTEM
  ibrav = 0, nat = 5, ntyp = 4
/
ATOMIC_SPECIES
Sr 87.62 Sr.upf
Co 58.93 Co.upf
Ge 72.64 Ge.upf
I 126.90 I.upf
CELL_PARAMETERS angstrom
6.081 0.000 0.000
0.000 6.081 0.000
0.000 0.000 5.709
ATOMIC_POSITIONS crystal
Sr 0.000 0.500 0.000
Sr 0.500 0.000 0.000
Co 0.000 0.000 0.500
Ge 0.500 0.500 0.000
I 0.500 0.500 0.500

---

! Rb2Li2LaBr6, optimized geometry, DFT PBE; values from VASP
! energy	-3.48	eV/atom
! V	407.6	Å³ per cell
! uncorrected formation energy	-1.59	eV per atom
&SYSTEM
  ibrav = 0, nat = 11, ntyp = 4
/
ATOMIC_SPECIES
Rb 85.47 Rb.upf
Li 6.94 Li.upf
La 138.91 La.upf
Br 79.90 Br.upf
CELL_PARAMETERS angstrom
6.535 -3.842 0.000
6.535 3.842 0.000
-4.014 0.000 8.116
ATOMIC_POSITIONS crystal
Rb 0.202 0.202 0.174
Rb 0.798 0.798 0.826
Li 0.454 0.454 0.658
Li 0.546 0.546 0.342
La 0.000 0.000 0.500
Br 0.180 0.710 0.200
Br 0.245 0.245 0.587
Br 0.290 0.820 0.800
Br 0.710 0.180 0.200
Br 0.755 0.755 0.413
Br 0.820 0.290 0.800

---

! Zr2AlSi3Pt4, optimized geometry, DFT PBE; values from VASP
! energy	-7.09	eV/atom
! V	166.1	Å³ per cell
! uncorrected formation energy	-0.96	eV per atom
&SYSTEM
  ibrav = 0, nat = 10, ntyp = 4
/
ATOMIC_SPECIES
Zr 91.22 Zr.upf
Al 26.98 Al.upf
Si 28.09 Si.upf
Pt 195.08 Pt.upf
CELL_PARAMETERS angstrom
3.917 0.000 0.000
0.000 3.917 0.000
0.000 0.000 10.823
ATOMIC_POSITIONS crystal
Zr 0.000 0.500 0.225
Zr 0.500 0.000 0.775
Al 0.000 0.000 0.500
Si 0.000 0.500 0.857
Si 0.500 0.000 0.143
Si 0.500 0.500 0.500
Pt 0.000 0.000 0.000
Pt 0.000 0.500 0.643
Pt 0.500 0.000 0.357
Pt 0.500 0.500 0.000

---

! RhBrN2, optimized geometry, DFT PBE; values from VASP
! energy	-4.19	eV/atom
! V	182.5	Å³ per cell
! energy relative to the lowest polymorph listed for this composition	1.279	eV per atom
! uncorrected formation energy	2.23	eV per atom
&SYSTEM
  ibrav = 0, nat = 16, ntyp = 3
/
ATOMIC_SPECIES
Rh 102.91 Rh.upf
Br 79.90 Br.upf
N 14.01 N.upf
CELL_PARAMETERS angstrom
5.673 0.000 0.000
0.000 5.673 0.000
0.000 0.000 5.673
ATOMIC_POSITIONS crystal
Rh 0.000 0.000 0.000
Rh 0.000 0.500 0.500
Rh 0.500 0.000 0.500
Rh 0.500 0.500 0.000
Br 0.000 0.000 0.500
Br 0.000 0.500 0.000
Br 0.500 0.000 0.000
Br 0.500 0.500 0.500
N 0.250 0.250 0.250
N 0.250 0.250 0.750
N 0.250 0.750 0.250
N 0.250 0.750 0.750
N 0.750 0.250 0.250
N 0.750 0.250 0.750
N 0.750 0.750 0.250
N 0.750 0.750 0.750

---

! MgTlSnBi, optimized geometry, DFT PBE; values from VASP
! energy	-3.03	eV/atom
! V	226.1	Å³ per cell
! energy of formation from the pure elements	-0.0642	eV per atom
! energy relative to the lowest polymorph listed for this composition	0.000	eV per atom
&SYSTEM
  ibrav = 0, nat = 8, ntyp = 4
/
ATOMIC_SPECIES
Mg 24.30 Mg.upf
Tl 204.38 Tl.upf
Sn 118.71 Sn.upf
Bi 208.98 Bi.upf
CELL_PARAMETERS angstrom
4.942 0.000 0.000
0.000 4.937 0.000
-0.002 0.000 9.267
ATOMIC_POSITIONS crystal
Mg 0.000 0.000 0.000
Mg 0.500 0.500 0.000
Tl 0.001 0.000 0.523
Tl 0.501 0.500 0.523
Sn 0.001 0.500 0.791
Sn 0.501 0.000 0.791
Bi 0.001 0.500 0.230
Bi 0.501 0.000 0.230

---

! CaCoPdSe2, optimized geometry, DFT PBE; values from VASP
! energy	-4.39	eV/atom
! V	117.1	Å³ per cell
! uncorrected formation energy	-0.14	eV per atom
&SYSTEM
  ibrav = 0, nat = 5, ntyp = 4
/
ATOMIC_SPECIES
Ca 40.08 Ca.upf
Co 58.93 Co.upf
Pd 106.42 Pd.upf
Se 78.96 Se.upf
CELL_PARAMETERS angstrom
5.047 0.000 0.000
0.000 5.047 0.000
0.000 0.000 4.596
ATOMIC_POSITIONS crystal
Ca 0.000 0.000 0.000
Co 0.500 0.500 0.000
Pd 0.500 0.500 0.500
Se 0.000 0.500 0.500
Se 0.500 0.000 0.500

---

! PaAgO4, optimized geometry, DFT PBE; values from VASP
! energy	-7.30	eV/atom
! V	199.2	Å³ per cell
! uncorrected formation energy	-1.93	eV per atom
&SYSTEM
  ibrav = 0, nat = 12, ntyp = 3
/
ATOMIC_SPECIES
Pa 231.04 Pa.upf
Ag 107.87 Ag.upf
O 16.00 O.upf
CELL_PARAMETERS angstrom
2.998 -5.986 0.000
2.998 5.986 0.000
-2.586 0.000 5.551
ATOMIC_POSITIONS crystal
Pa 0.173 0.827 0.750
Pa 0.827 0.173 0.250
Ag 0.450 0.550 0.750
Ag 0.550 0.450 0.250
O 0.070 0.431 0.671
O 0.182 0.319 0.219
O 0.319 0.182 0.719
O 0.431 0.070 0.171
O 0.569 0.930 0.829
O 0.681 0.818 0.281
O 0.818 0.681 0.781
O 0.930 0.569 0.329

---

! Cu2MoRh, optimized geometry, DFT PBE; values from VASP
! energy	-6.51	eV/atom
! V	108.0	Å³ per cell
! energy of formation from the pure elements	0.0834	eV per atom
&SYSTEM
  ibrav = 0, nat = 8, ntyp = 3
/
ATOMIC_SPECIES
Cu 63.55 Cu.upf
Mo 95.94 Mo.upf
Rh 102.91 Rh.upf
CELL_PARAMETERS angstrom
3.781 0.000 0.000
0.000 3.781 0.000
0.000 0.000 7.555
ATOMIC_POSITIONS crystal
Cu 0.000 0.000 0.000
Cu 0.000 0.500 0.250
Cu 0.500 0.000 0.750
Cu 0.500 0.500 0.500
Mo 0.000 0.500 0.750
Mo 0.500 0.000 0.250
Rh 0.000 0.000 0.500
Rh 0.500 0.500 0.000

---

Which of these has the lowest energy?
PaAgO4

---

What is the formula in the second record?
CoSi2Rh

---

Repeat the seventh record exactly.
! Zr2AlSi3Pt4, optimized geometry, DFT PBE; values from VASP
! energy	-7.09	eV/atom
! V	166.1	Å³ per cell
! uncorrected formation energy	-0.96	eV per atom
&SYSTEM
  ibrav = 0, nat = 10, ntyp = 4
/
ATOMIC_SPECIES
Zr 91.22 Zr.upf
Al 26.98 Al.upf
Si 28.09 Si.upf
Pt 195.08 Pt.upf
CELL_PARAMETERS angstrom
3.917 0.000 0.000
0.000 3.917 0.000
0.000 0.000 10.823
ATOMIC_POSITIONS crystal
Zr 0.000 0.500 0.225
Zr 0.500 0.000 0.775
Al 0.000 0.000 0.500
Si 0.000 0.500 0.857
Si 0.500 0.000 0.143
Si 0.500 0.500 0.500
Pt 0.000 0.000 0.000
Pt 0.000 0.500 0.643
Pt 0.500 0.000 0.357
Pt 0.500 0.500 0.000